Compound: Li2PaTaN4
Source: the Alexandria database
Functional: GGA-PBE
Structure: optimized geometry

```
data_Li2PaTaN4
_chemical_formula_sum 'Li8 Pa4 Ta4 N16'
_space_group_name_H-M_alt 'C m c m'
_space_group_IT_number 63
_space_group_name_Hall '-C 2c 2'
_cell_length_a 3.4096
_cell_length_b 14.7698
_cell_length_c 8.2838
_cell_angle_alpha 90.00
_cell_angle_beta 90.00
_cell_angle_gamma 90.00
loop_
_atom_site_label
_atom_site_type_symbol
_atom_site_fract_x
_atom_site_fract_y
_atom_site_fract_z
Li1 Li 0.0000 0.0798 0.0687
Pa1 Pa 0.0000 0.4192 0.2500
Ta1 Ta 0.0000 0.2652 0.7500
N1 N 0.0000 0.1616 0.6032
N2 N 0.0000 0.1688 0.2500
N3 N 0.0000 0.5000 0.0000
```

Total magnetization, μB per cell: 0.0
E_form (uncorrected), meV per atom: -729